[1]
# Zn2In2Se5

An optimized crystal structure of Zn2In2Se5 (PBE, the Alexandria database).

Properties
DOS at the Fermi energy: 0.02 states/eV per atom
Total magnetic moment: 0.000 μB/atom
Calculated volume: 26.43 A^3/atom
Energy: -3.3777 eV/atom
Raw formation energy: -5.0 eV per formula unit

Unit cell a=7.103 b=4.101 c=16.508 alpha=90.00 beta=98.28 gamma=90.00
Space group Cm (No. 8)
One atom of each set of equivalent atoms:
Zn1 0.000 0.000 0.000 x2
Zn2 0.170 0.000 0.513 x2
In1 0.084 0.500 0.755 x2
In2 0.264 0.500 0.295 x2
Se1 0.073 0.000 0.224 x2
Se2 0.182 0.500 0.045 x2
Se3 0.219 0.000 0.659 x2
Se4 0.318 0.500 0.457 x2
Se5 0.446 0.500 0.840 x2

=====

[2]
# Pu2ZrPd

An optimized crystal structure of Pu2ZrPd (PBE, the Alexandria database).

Properties
Energy of formation: -61 meV/atom
DOS at the Fermi energy: 3.00 states/eV per atom
Total magnetic moment: 2.834 μB/atom
Calculated volume: 23.23 A^3/atom
Energy: -10.6621 eV/atom

Unit cell a=3.606 b=3.606 c=7.144 alpha=90.00 beta=90.00 gamma=90.00
Space group P4/mmm (No. 123)
One atom of each set of equivalent atoms:
Pu1 0.000 0.000 0.221 x2
Zr1 0.500 0.500 0.500 x1
Pd1 0.500 0.500 0.000 x1

=====

[3]
# TlPt3I

An optimized crystal structure of TlPt3I (PBE, the Alexandria database).

Properties
DOS at the Fermi energy: 0.09 states/eV per atom
Total magnetic moment: 0.000 μB/atom
Calculated volume: 25.82 A^3/atom
Energy: -3.5941 eV/atom
Raw formation energy: 4.1 eV per formula unit

Unit cell a=5.054 b=5.054 c=5.054 alpha=90.00 beta=90.00 gamma=90.00
Space group Pm-3m (No. 221)
One atom of each set of equivalent atoms:
Tl1 0.000 0.000 0.000 x1
Pt1 0.000 0.500 0.500 x3
I1 0.500 0.500 0.500 x1

=====

[4]
# TaHg

An optimized crystal structure of TaHg (PBE, the Alexandria database).

Properties
Energy of formation: 361 meV/atom
DOS at the Fermi energy: 0.71 states/eV per atom
Total magnetic moment: 0.000 μB/atom
Calculated volume: 19.83 A^3/atom
Energy: -5.7166 eV/atom

Unit cell a=11.577 b=2.998 c=7.114 alpha=90.00 beta=105.42 gamma=90.00
Space group Cm (No. 8)
One atom of each set of equivalent atoms:
Ta1 0.000 0.000 0.000 x2
Ta2 0.056 0.000 0.644 x2
Ta3 0.212 0.500 0.938 x2
Hg1 0.153 0.500 0.341 x2
Hg2 0.333 0.000 0.679 x2
Hg3 0.384 0.000 0.279 x2

=====

[5]
# Tl3FeSb

An optimized crystal structure of Tl3FeSb (PBE, the Alexandria database).

Properties
DOS at the Fermi energy: 2.64 states/eV per atom
Total magnetic moment: 0.000 μB/atom
Calculated volume: 27.39 A^3/atom
Energy: -3.3790 eV/atom
Raw formation energy: 2.8 eV per formula unit

Unit cell a=5.155 b=5.155 c=5.155 alpha=90.00 beta=90.00 gamma=90.00
Space group Pm-3m (No. 221)
One atom of each set of equivalent atoms:
Tl1 0.000 0.000 0.500 x3
Fe1 0.000 0.000 0.000 x1
Sb1 0.500 0.500 0.500 x1

=====

[6]
# LiCeGaAu

An optimized crystal structure of LiCeGaAu (PBE, the Alexandria database).

Properties
Energy of formation: -483 meV/atom
DOS at the Fermi energy: 1.49 states/eV per atom
Total magnetic moment: 0.145 μB/atom
Calculated volume: 21.05 A^3/atom
Energy: -4.0214 eV/atom

Unit cell a=6.957 b=6.957 c=6.957 alpha=90.00 beta=90.00 gamma=90.00
Space group F-43m (No. 216)
One atom of each set of equivalent atoms:
Li1 0.000 0.000 0.000 x4
Ce1 0.000 0.000 0.500 x4
Ga1 0.250 0.250 0.750 x4
Au1 0.250 0.250 0.250 x4

=====

[7]
# Li3TmPd2

An optimized crystal structure of Li3TmPd2 (PBE, the Alexandria database).

Properties
Energy of formation: -505 meV/atom
DOS at the Fermi energy: 0.43 states/eV per atom
Total magnetic moment: 0.000 μB/atom
Calculated volume: 17.05 A^3/atom
Energy: -3.9383 eV/atom

Unit cell a=13.579 b=4.097 c=8.468 alpha=90.00 beta=119.69 gamma=90.00
Space group C2/m (No. 12)
One atom of each set of equivalent atoms:
Li1 0.060 0.000 0.398 x4
Li2 0.082 0.500 0.694 x4
Li3 0.225 0.500 0.559 x4
Tm1 0.133 0.000 0.017 x4
Pd1 0.065 0.500 0.190 x4
Pd2 0.210 0.000 0.752 x4

=====

[8]
# Er6Te3PSe2

An optimized crystal structure of Er6Te3PSe2 (PBE, the Alexandria database).

Properties
DOS at the Fermi energy: 0.40 states/eV per atom
Total magnetic moment: 0.000 μB/atom
Calculated volume: 25.70 A^3/atom
Energy: -5.6111 eV/atom
Raw formation energy: -18.2 eV per formula unit

Unit cell a=7.165 b=12.391 c=7.342 alpha=90.00 beta=108.90 gamma=90.00
Space group C2/m (No. 12)
One atom of each set of equivalent atoms:
Er1 0.228 0.158 0.211 x8
Er2 0.244 0.000 0.786 x4
Te1 0.000 0.171 0.500 x4
Te2 0.000 0.500 0.500 x2
P1 0.000 0.000 0.000 x2
Se1 0.000 0.335 0.000 x4

=====

Q: What is the formula in the third record?
A: TlPt3I

=====

Q: calculated volume of number 6 (LiCeGaAu)?
A: 21.05 A^3/atom